A:
NiBi3Os: relaxed, PBE-GGA.

Results
As for the magnetic moment: 0.00 μB/f.u. The calculation puts the density of states at the Fermi level at 5.69 states/eV/cell.

Cell lengths 5.275, 5.275, 5.275 Å; angles 90.00, 90.00, 90.00 degrees
Space group Pm-3m (No. 221)
Symmetry-distinct sites (fractional):
Ni: 0.000 0.000 0.000 x1
Bi: 0.000 0.500 0.500 x3
Os: 0.500 0.500 0.500 x1

***

B:
NiBi3Os: relaxed, PBE-GGA.

Results
As for the magnetic moment: 1.06 μB/f.u. The calculation puts the density of states at the Fermi level at 4.35 states/eV/cell.

Cell lengths 5.001, 5.001, 5.001 Å; angles 90.00, 90.00, 90.00 degrees
Space group Pm-3m (No. 221)
Symmetry-distinct sites (fractional):
Ni: 0.000 0.000 0.000 x1
Bi: 0.000 0.000 0.500 x3
Os: 0.500 0.500 0.500 x1

***

Least stable = A

***

A:
NiBi2Os: relaxed, PBE-GGA.

Results
As for the magnetic moment: 0.00 μB/f.u. The calculation puts the density of states at the Fermi level at 12.62 states/eV/cell.

Cell lengths 6.059, 6.059, 11.961 Å; angles 90.00, 90.00, 90.00 degrees
Space group I-42d (No. 122)
Symmetry-distinct sites (fractional):
Ni: 0.000 0.000 0.000 x4
Bi: 0.239 0.250 0.125 x8
Os: 0.000 0.000 0.500 x4

***

B:
NiBi2Os: relaxed, PBE-GGA.

Results
As for the magnetic moment: 0.00 μB/f.u. The calculation puts the density of states at the Fermi level at 17.90 states/eV/cell.

Cell lengths 6.805, 6.805, 6.805 Å; angles 90.00, 90.00, 90.00 degrees
Space group Fm-3m (No. 225)
Symmetry-distinct sites (fractional):
Ni: 0.000 0.000 0.000 x4
Bi: 0.250 0.250 0.250 x8
Os: 0.000 0.000 0.500 x4

***

Least stable = A

***

A:
NiBiPS2: relaxed, PBE-GGA.

Results
As for the magnetic moment: 0.00 μB/f.u. The calculation puts the density of states at the Fermi level at 1.99 states/eV/cell.

Cell lengths 4.714, 4.714, 4.245 Å; angles 90.00, 90.00, 90.00 degrees
Space group P4/mmm (No. 123)
Symmetry-distinct sites (fractional):
Ni: 0.000 0.000 0.000 x1
Bi: 0.500 0.500 0.500 x1
P: 0.000 0.000 0.500 x1
S: 0.000 0.500 0.000 x2

***

B:
NiBiPS2: relaxed, PBE-GGA.

Results
As for the magnetic moment: 1.23 μB/f.u. The calculation puts the density of states at the Fermi level at 14.41 states/eV/cell.

Cell lengths 5.172, 5.172, 5.308 Å; angles 90.00, 90.00, 90.00 degrees
Space group P4/mmm (No. 123)
Symmetry-distinct sites (fractional):
Ni: 0.000 0.000 0.000 x1
Bi: 0.500 0.500 0.500 x1
P: 0.500 0.500 0.000 x1
S: 0.000 0.500 0.500 x2

***

Least stable = B

***

A:
TlNiBi2Pb: relaxed, PBE-GGA.

Results
As for the magnetic moment: 0.00 μB/f.u. The calculation puts the density of states at the Fermi level at 3.92 states/eV/cell.

Cell lengths 5.303, 5.303, 5.220 Å; angles 90.00, 90.00, 90.00 degrees
Space group P4/mmm (No. 123)
Symmetry-distinct sites (fractional):
Tl: 0.000 0.000 0.000 x1
Ni: 0.500 0.500 0.500 x1
Bi: 0.000 0.500 0.500 x2
Pb: 0.500 0.500 0.000 x1

***

B:
TlNiBi2Pb: relaxed, PBE-GGA.

Results
As for the magnetic moment: 0.00 μB/f.u. The calculation puts the density of states at the Fermi level at 4.39 states/eV/cell.

Cell lengths 5.320, 5.320, 5.085 Å; angles 90.00, 90.00, 90.00 degrees
Space group P4/mmm (No. 123)
Symmetry-distinct sites (fractional):
Tl: 0.000 0.000 0.000 x1
Ni: 0.000 0.000 0.500 x1
Bi: 0.000 0.500 0.500 x2
Pb: 0.500 0.500 0.000 x1

***

Least stable = A